No. 1
A plane-wave DFT calculation with PBE was carried out for crystalline Cs3SbS at its relaxed geometry.

The space group is Pm-3m (No. 221) and the conventional cell measures 6.696, 6.696 and 6.696 Å, with angles of 90.00, 90.00 and 90.00 degrees. The inequivalent atoms are Cs at (0.000, 0.000, 0.500), Sb at (0.500, 0.500, 0.500) and S at (0.000, 0.000, 0.000).

The uncorrected formation energy comes out at -9.54 kcal/mol of atoms. The energy above the most stable polymorph in this dataset is 188 meV/atom. For the total DFT energy (no corrections), the calculation gives -12.88 eV per cell.

---

No. 2
A plane-wave DFT calculation with PBE was carried out for crystalline PrBe3Au6 at its relaxed geometry.

The space group is R3 (No. 146, hexagonal axes) and the conventional cell measures 5.7262, 5.7262 and 18.4845 Å, with angles of 90.00, 90.00 and 120.00 degrees. The inequivalent atoms are Pr at (0.0000, 0.0000, 0.0000), Be at (0.0000, 0.0000, 0.3092), Be at (0.0000, 0.0000, 0.6447), Be at (0.0000, 0.0000, 0.8401), Au at (0.0007, 0.4117, 0.8850) and Au at (0.0024, 0.5024, 0.0764).

The formation energy is -6.7 kcal/mol of atoms. For the total DFT energy (no corrections), the calculation gives -115.53 eV per cell.

---

No. 3
A plane-wave DFT calculation with PBE was carried out for crystalline Ca2MgHg at its relaxed geometry.

The space group is Imm2 (No. 44) and the conventional cell measures 3.739, 5.536 and 11.379 Å, with angles of 90.00, 90.00 and 90.00 degrees. The inequivalent atoms are Ca at (0.000, 0.000, 0.000), Ca at (0.000, 0.500, 0.205), Mg at (0.000, 0.000, 0.428) and Hg at (0.000, 0.500, 0.730).

The energy above the most stable polymorph in this dataset is 44 meV/atom. The formation energy is -6.4 kcal/mol of atoms. For the total DFT energy (no corrections), the calculation gives -14.03 eV per cell.

---

No. 4
A plane-wave DFT calculation with PBE was carried out for crystalline Cu2As at its relaxed geometry.

The space group is Pnma (No. 62) and the conventional cell measures 5.021, 3.798 and 8.985 Å, with angles of 90.00, 90.00 and 90.00 degrees. The inequivalent atoms are Cu at (0.108, 0.250, 0.230), Cu at (0.142, 0.250, 0.926) and As at (0.138, 0.250, 0.619).

The formation energy is 1.7 kcal/mol of atoms. For the total DFT energy (no corrections), the calculation gives -50.49 eV per cell.

---

No. 5
A plane-wave DFT calculation with PBE was carried out for crystalline CuIr2Au at its relaxed geometry.

The space group is Pmmm (No. 47) and the conventional cell measures 2.773, 3.865 and 5.569 Å, with angles of 90.00, 90.00 and 90.00 degrees. The inequivalent atoms are Cu at (0.000, 0.000, 0.000), Ir at (0.500, 0.500, 0.230) and Au at (0.000, 0.000, 0.500).

The energy above the most stable polymorph in this dataset is 285 meV/atom. The formation energy is 9.3 kcal/mol of atoms. For the total DFT energy (no corrections), the calculation gives -23.49 eV per cell.

---

| no. | D(E_F) (states/eV per atom) |
| --- | --- |
| 1 | 2.43 |
| 2 | 0.33 |
| 3 | 0.68 |
| 4 | 0.21 |
| 5 | 1.60 |